A plane-wave DFT calculation with PBE was carried out for a relaxed structure of Ta2TcMo.

Lattice parameters (Å, degrees): 3.2151 4.6826 8.8285 90.00 90.00 90.00
Space group Cmmm (No. 65)
One atom of each set of equivalent atoms:
Ta 0.0000 0.0000 0.2461 (multiplicity 4)
Tc 0.0000 0.5000 0.0000 (multiplicity 2)
Mo 0.0000 0.5000 0.5000 (multiplicity 2)

## Properties
Theoretical density: 13.9 g/cm³
Energy of formation from the pure elements: -0.1702 eV per atom
Electronic total energy: -91.2 eV/cell
M_tot: 0.00 μB/f.u.